[1]
A plane-wave DFT calculation with GGA-PBE was carried out for a geometry-optimized MgZnNO structure.

Results
density = 5.1 g/cm³
E above lowest polymorph = 137 meV per atom
symmetry = P4/nmm

Unit cell a=4.354 b=4.354 c=4.126 alpha=90.00 beta=90.00 gamma=90.00
Sites, in units of the cell vectors:
Mg1 0.250 0.750 0.000
Mg2 0.750 0.250 0.000
Zn1 0.250 0.250 0.499
Zn2 0.750 0.750 0.501
N1 0.250 0.250 0.999
N2 0.750 0.750 0.001
O1 0.250 0.750 0.500
O2 0.750 0.250 0.500

=====

[2]
A plane-wave DFT calculation with GGA-PBE was carried out for a geometry-optimized RbAgAsAu structure.

Results
density = 8.0 g/cm³
E above lowest polymorph = 0 meV per atom
symmetry = F-43m

Unit cell a=7.274 b=7.274 c=7.274 alpha=90.00 beta=90.00 gamma=90.00
Sites, in units of the cell vectors:
Rb1 0.000 0.000 0.000
Rb2 0.000 0.500 0.500
Rb3 0.500 0.000 0.500
Rb4 0.500 0.500 0.000
Ag1 0.250 0.250 0.250
Ag2 0.250 0.750 0.750
Ag3 0.750 0.250 0.750
Ag4 0.750 0.750 0.250
As1 0.000 0.000 0.500
As2 0.000 0.500 0.000
As3 0.500 0.000 0.000
As4 0.500 0.500 0.500
Au1 0.250 0.250 0.750
Au2 0.250 0.750 0.250
Au3 0.750 0.250 0.250
Au4 0.750 0.750 0.750

=====

[3]
A plane-wave DFT calculation with GGA-PBE was carried out for a geometry-optimized BaHfHg2 structure.

Results
raw total energy = -0.1959 Ry/atom
density = 11.0 g/cm³
symmetry = F-43m

Unit cell a=7.556 b=7.556 c=7.556 alpha=90.00 beta=90.00 gamma=90.00
Sites, in units of the cell vectors:
Ba1 0.000 0.000 0.000
Ba2 0.000 0.500 0.500
Ba3 0.500 0.000 0.500
Ba4 0.500 0.500 0.000
Hf1 0.250 0.250 0.250
Hf2 0.250 0.750 0.750
Hf3 0.750 0.250 0.750
Hf4 0.750 0.750 0.250
Hg1 0.000 0.000 0.500
Hg2 0.000 0.500 0.000
Hg3 0.250 0.250 0.750
Hg4 0.250 0.750 0.250
Hg5 0.500 0.000 0.000
Hg6 0.500 0.500 0.500
Hg7 0.750 0.250 0.250
Hg8 0.750 0.750 0.750

=====

[4]
A plane-wave DFT calculation with GGA-PBE was carried out for a geometry-optimized Er2Al4CuPd structure.

Results
raw total energy = -0.3497 Ry/atom
density = 6.9 g/cm³
symmetry = Amm2

Unit cell a=6.786 b=4.282 c=10.081 alpha=90.00 beta=90.00 gamma=90.00
Sites, in units of the cell vectors:
Er1 0.000 0.000 0.000
Er2 0.000 0.500 0.500
Er3 0.500 0.000 0.146
Er4 0.500 0.500 0.646
Al1 0.195 0.000 0.711
Al2 0.195 0.500 0.211
Al3 0.299 0.000 0.434
Al4 0.299 0.500 0.934
Al5 0.701 0.000 0.434
Al6 0.701 0.500 0.934
Al7 0.805 0.000 0.711
Al8 0.805 0.500 0.211
Cu1 0.000 0.000 0.282
Cu2 0.000 0.500 0.782
Pd1 0.500 0.000 0.864
Pd2 0.500 0.500 0.364

=====

[5]
A plane-wave DFT calculation with GGA-PBE was carried out for a geometry-optimized PrSmZr structure.

Results
density = 6.0 g/cm³
E above lowest polymorph = 0 meV per atom
symmetry = F-43m

Unit cell a=7.503 b=7.503 c=7.503 alpha=90.00 beta=90.00 gamma=90.00
Sites, in units of the cell vectors:
Pr1 0.000 0.000 0.000
Pr2 0.000 0.500 0.500
Pr3 0.500 0.000 0.500
Pr4 0.500 0.500 0.000
Sm1 0.000 0.000 0.500
Sm2 0.000 0.500 0.000
Sm3 0.500 0.000 0.000
Sm4 0.500 0.500 0.500
Zr1 0.250 0.250 0.250
Zr2 0.250 0.750 0.750
Zr3 0.750 0.250 0.750
Zr4 0.750 0.750 0.250

=====

[6]
A plane-wave DFT calculation with GGA-PBE was carried out for a geometry-optimized NaTaAsO structure.

Results
density = 6.6 g/cm³
E above lowest polymorph = 0 meV per atom
symmetry = Pmc2_1

Unit cell a=3.467 b=7.158 c=5.946 alpha=90.00 beta=90.00 gamma=90.00
Sites, in units of the cell vectors:
Na1 0.000 0.115 0.000
Na2 0.000 0.885 0.500
Ta1 0.500 0.499 0.739
Ta2 0.500 0.501 0.239
As1 0.000 0.293 0.489
As2 0.000 0.707 0.989
O1 0.500 0.309 0.989
O2 0.500 0.691 0.489